# 1
4
Lattice="3.1524 0.0000 0.0000 0.0000 3.2351 0.1225 0.0000 1.3131 6.5910" Properties=species:S:1:pos:R:3 comment="BeMo2Br, optimized geometry, DFT PBE" de_polymorph_ev_per_atom=0.000 e_form_raw_ev_per_atom=0.314 pbc="T T T"
Be 0.0000 2.5241 2.8978
Mo 0.0000 2.6057 0.4857
Mo 1.5762 0.9398 1.9002
Br 1.5762 3.9879 4.9091

***

# 2
6
Lattice="-9.0783 -5.9859 2.8823 -2.7001 -3.7700 -3.8193 5.4822 -1.2778 2.0987" Properties=species:S:1:pos:R:3 comment="RbSrTa, optimized geometry, DFT PBE" de_polymorph_ev_per_atom=0.524 ef_ev_per_atom=0.98 pbc="T T T"
Sr -0.1371 -4.3459 2.0140
Sr -6.1592 -6.6878 -0.8524
Rb -10.0166 -8.8688 -0.6907
Rb 3.7203 -2.1649 1.8523
Ta -2.6905 -4.9669 -0.2927
Ta -3.6058 -6.0668 1.4544

***

# 3
5
Lattice="-3.3757 3.6666 0.8838 -2.4132 -3.4866 5.2473 3.3086 2.3094 3.0562" Properties=species:S:1:pos:R:3 comment="BaAl2TlP, optimized geometry, DFT PBE" ef_ev_per_atom=0.62 pbc="T T T"
P -1.2402 1.2447 4.5936
Tl 0.0000 0.0000 0.0000
Ba -1.2066 -1.7433 2.6236
Al 1.6543 1.1547 1.5281
Al -1.6879 1.8333 0.4419

***

# 4
9
Lattice="4.7508 0.0000 0.0000 -2.3754 5.6515 -0.1906 0.0000 -2.5417 8.3892" Properties=species:S:1:pos:R:3 comment="Pm3Sn4Ru2, optimized geometry, DFT PBE" ef_ev_per_atom=-0.57 pbc="T T T"
Pm 2.3754 -0.2925 5.7150
Pm 0.0000 0.0000 0.0000
Pm 0.0000 3.4023 2.4836
Sn 2.3754 2.1497 0.6036
Sn 0.0000 0.9601 7.5950
Sn 2.3754 3.0872 4.9061
Sn 0.0000 0.0226 3.2924
Ru 2.3754 1.1238 3.0343
Ru 0.0000 1.9860 5.1642

***

# 5
32
Lattice="-8.0871 0.1604 -1.0286 -0.3332 -8.7051 1.2624 -1.5898 1.9166 12.7973" Properties=species:S:1:pos:R:3 comment="K2NdCl5, optimized geometry, DFT PBE" de_polymorph_ev_per_atom=0.000 e_form_raw_ev_per_atom=-2.170 pbc="T T T"
K -5.8817 -2.6564 10.6500
K -4.1283 -3.9717 2.3810
K -1.5955 -3.0793 9.2029
K -4.2930 -8.2763 3.0052
K -8.4145 -3.5488 3.8281
K -5.7170 1.6482 10.0258
K -8.2498 0.7558 3.2039
K -1.7603 -7.3840 9.8272
Nd -5.6980 -5.4673 6.8290
Nd -4.3121 -1.1608 6.2021
Nd -2.2643 -0.2589 12.9623
Nd -7.7457 -6.3692 0.0687
Cl -8.2545 -4.8642 10.3131
Cl -1.7555 -1.7639 2.7179
Cl -3.8891 -0.7790 8.9463
Cl -6.1209 -5.8491 4.0847
Cl -4.3182 -5.1732 9.2213
Cl -5.6919 -1.4549 3.8098
Cl -8.4293 -0.4581 9.9613
Cl -1.5807 -6.1700 3.0697
Cl -8.4818 -5.4039 6.5317
Cl -1.5282 -1.2242 6.4994
Cl -5.0342 -0.2122 12.5532
Cl -4.9758 -6.4159 0.4778
Cl -6.2722 0.8485 6.7912
Cl -3.7378 -7.4766 6.2398
Cl -3.0756 -6.5472 12.8238
Cl -3.5994 -3.8603 5.7154
Cl -6.9344 -0.0809 0.2072
Cl -6.4106 -2.7678 7.3157
Cl -7.0728 -3.6973 0.7317
Cl -2.9372 -2.9308 12.2994

***

# 6
5
Lattice="-0.7446 4.4934 -3.7981 -4.3856 -0.1337 0.7016 0.5952 3.8663 4.4574" Properties=species:S:1:pos:R:3 comment="BaAsAu2N, optimized geometry, DFT PBE" e_form_raw_ev_per_atom=1.494 pbc="T T T"
As -2.2675 4.1130 0.6804
Au 0.2976 1.9331 2.2287
Au -0.3723 2.2467 -1.8990
Ba 0.0000 0.0000 0.0000
N -2.1928 -0.0669 0.3508

***

Ordered magnetic moment results: 0.0, 0.0, 0.0, 0.0, 0.0, 0.0; unit μB per formula unit.